# PuGaPb (PBE, relaxed)
data_PuGaPb
_chemical_formula_sum 'Pu4 Ga4 Pb4'
_symmetry_space_group_name_H-M 'F -4 3 m'
_symmetry_Int_Tables_number 216
_symmetry_space_group_name_Hall 'F -4 2 3'
_cell_length_a 6.8453
_cell_length_b 6.8453
_cell_length_c 6.8453
_cell_angle_alpha 90.00
_cell_angle_beta 90.00
_cell_angle_gamma 90.00
loop_
_atom_site_label
_atom_site_type_symbol
_atom_site_fract_x
_atom_site_fract_y
_atom_site_fract_z
Pu1 Pu 0.0000 0.0000 0.0000
Ga1 Ga 0.0000 0.0000 0.5000
Pb1 Pb 0.2500 0.2500 0.7500
# DFT total energy = -6.73 eV/atom
# offset from the most stable computed form = 0.106 eV/atom